# 1
PBE SmDyMo, optimized geometry; calculated density = 8153 kg/m3; SG = C2/m (12); formation energy from the elements = 0.22 eV/atom
1.0
3.546 0.000 0.000
0.000 6.068 -0.289
-1.773 -1.683 7.821
Mo Sm Dy
2 2 2
direct
0.232 0.856 0.463
0.768 0.144 0.537
0.143 0.332 0.286
0.857 0.668 0.714
0.570 0.800 0.141
0.430 0.200 0.859

# 2
PBE DyTcMo, optimized geometry; calculated density = 10277 kg/m3; SG = Imma (74); formation energy from the elements = -0.06 eV/atom; energy relative to the lowest polymorph listed for this composition = 0.000 eV per atom
1.0
4.739 -0.017 -2.691
-3.097 4.483 -0.107
-0.038 0.017 5.450
Mo Dy Tc
2 2 2
direct
0.000 0.500 0.000
0.500 0.500 0.500
0.750 0.877 0.127
0.250 0.123 0.873
0.000 0.500 0.500
0.500 0.000 0.500

# 3
PBE Dy3Tc8Mo, optimized geometry; calculated density = 10638 kg/m3; SG = R3m (160); formation energy from the elements = -0.01 eV/atom
1.0
-3.856 -3.631 0.526
0.382 -3.765 3.743
-5.276 2.724 7.063
Tc Dy Mo
8 3 1
direct
0.062 0.555 0.321
0.555 0.062 0.321
0.813 0.813 0.562
0.312 0.312 0.064
0.564 0.564 0.803
0.564 0.069 0.803
0.062 0.062 0.321
0.069 0.564 0.803
0.626 0.626 0.123
0.499 0.499 0.503
0.001 0.001 0.997
0.124 0.124 0.627